[1]
Co2RhSe: single point on PBEsol structure, SCAN.

Geometry as POSCAR:
```
Co2RhSe
1.0
2.845 0.000 0.000
0.000 2.845 0.000
0.000 0.000 6.268
Co Rh Se
2 1 1
direct
0.000 0.000 0.000 Co
0.500 0.500 0.223 Co
0.000 0.000 0.481 Rh
0.500 0.500 0.756 Se
```

Summary:
Symmetry: P4mm (99)
V in Å³ per cell: 51
Formation energy (no corrections) in eV per atom: 0.2356
DFT total energy in eV per atom: -21.8790

---

[2]
Co2Rh2Se: single point on PBEsol structure, SCAN.

Geometry as POSCAR:
```
Co2Rh2Se
1.0
3.476 0.000 0.000
0.000 3.476 0.000
0.000 0.000 11.804
Co Rh Se
4 4 2
direct
0.000 0.000 0.099 Co
0.000 0.000 0.901 Co
0.500 0.500 0.401 Co
0.500 0.500 0.599 Co
0.000 0.500 0.250 Rh
0.000 0.500 0.750 Rh
0.500 0.000 0.250 Rh
0.500 0.000 0.750 Rh
0.000 0.000 0.500 Se
0.500 0.500 0.000 Se
```

Summary:
Symmetry: I4/mmm (139)
V in Å³ per cell: 143
Formation energy (no corrections) in eV per atom: 0.5082
DFT total energy in eV per atom: -23.9378